BaAl2Ag | meta-GGA SCAN | PBEsol geometry

## Properties
Electronic total energy ... -0.792 hartree per atom
Formation energy ... 0.066 eV per atom
Calculated density ... 5220 kg/m3
Total magnetization ... 0.00 μB/f.u.

The structure in CIF format:
```
data_BaAl2Ag
_chemical_formula_sum 'Ba1 Al2 Ag1'
_space_group_name_H-M_alt 'P 1'
_space_group_IT_number 1
_cell_length_a 4.901
_cell_length_b 5.126
_cell_length_c 5.126
_cell_angle_alpha 63.26
_cell_angle_beta 61.44
_cell_angle_gamma 61.44
loop_
_space_group_symop_operation_xyz
'x,y,z'
loop_
_atom_site_label
_atom_site_fract_x
_atom_site_fract_y
_atom_site_fract_z
Ba1 0.502 0.498 0.498
Ag1 0.717 0.783 0.783
Al1 0.006 0.994 0.994
Al2 0.276 0.224 0.224
```

MnIrW2 | meta-GGA SCAN | PBEsol geometry

## Properties
Electronic total energy ... -2.106 hartree per atom
Formation energy ... -0.136 eV per atom
Calculated density ... 18005 kg/m3
Energy above the lowest structure with this stoichiometry ... 0 meV/atom
Total magnetization ... 2.10 μB/f.u.

The structure in CIF format:
```
data_MnIrW2
_chemical_formula_sum 'Mn1 Ir1 W2'
_space_group_name_H-M_alt 'P 1'
_space_group_IT_number 1
_cell_length_a 3.819
_cell_length_b 3.819
_cell_length_c 4.734
_cell_angle_alpha 113.78
_cell_angle_beta 113.78
_cell_angle_gamma 90.00
loop_
_space_group_symop_operation_xyz
'x,y,z'
loop_
_atom_site_label
_atom_site_fract_x
_atom_site_fract_y
_atom_site_fract_z
Ir1 0.500 0.500 0.000
Mn1 0.000 0.000 0.000
W1 0.750 0.250 0.500
W2 0.250 0.750 0.500
```

Al3Ir | meta-GGA SCAN | PBEsol geometry

## Properties
Electronic total energy ... -0.890 hartree per atom
Formation energy ... -0.623 eV per atom
Calculated density ... 7985 kg/m3
Total magnetization ... 0.01 μB/f.u.

The structure in CIF format:
```
data_Al3Ir
_chemical_formula_sum 'Al3 Ir1'
_space_group_name_H-M_alt 'P 1'
_space_group_IT_number 1
_cell_length_a 3.844
_cell_length_b 3.844
_cell_length_c 3.844
_cell_angle_alpha 90.00
_cell_angle_beta 90.00
_cell_angle_gamma 90.00
loop_
_space_group_symop_operation_xyz
'x,y,z'
loop_
_atom_site_label
_atom_site_fract_x
_atom_site_fract_y
_atom_site_fract_z
Ir1 0.000 0.000 0.000
Al1 0.000 0.500 0.500
Al2 0.500 0.000 0.500
Al3 0.500 0.500 0.000
```

Li3YBr6 | meta-GGA SCAN | PBEsol geometry

## Properties
Electronic total energy ... -0.626 hartree per atom
Calculated density ... 3873 kg/m3
Uncorrected formation energy ... -1.86 eV/atom
Total magnetization ... 0.00 μB/f.u.

The structure in CIF format:
```
data_Li3YBr6
_chemical_formula_sum 'Li6 Y2 Br12'
_space_group_name_H-M_alt 'P 1'
_space_group_IT_number 1
_cell_length_a 6.772
_cell_length_b 6.772
_cell_length_c 12.917
_cell_angle_alpha 95.03
_cell_angle_beta 95.03
_cell_angle_gamma 119.98
loop_
_space_group_symop_operation_xyz
'x,y,z'
loop_
_atom_site_label
_atom_site_fract_x
_atom_site_fract_y
_atom_site_fract_z
Li1 0.839 0.679 0.000
Li2 0.914 0.086 0.250
Li3 0.321 0.161 0.500
Li4 0.679 0.839 0.500
Li5 0.086 0.914 0.750
Li6 0.161 0.321 0.000
Y1 0.500 0.000 0.000
Y2 0.000 0.500 0.500
Br1 0.885 0.372 0.122
Br2 0.554 0.710 0.123
Br3 0.203 0.041 0.123
Br4 0.959 0.797 0.377
Br5 0.290 0.446 0.377
Br6 0.628 0.115 0.378
Br7 0.372 0.885 0.622
Br8 0.041 0.203 0.623
Br9 0.710 0.554 0.623
Br10 0.797 0.959 0.877
Br11 0.446 0.290 0.877
Br12 0.115 0.628 0.878
```

Fe2SiSe | meta-GGA SCAN | PBEsol geometry

## Properties
Electronic total energy ... -0.604 hartree per atom
Calculated density ... 7714 kg/m3
Energy above the lowest structure with this stoichiometry ... 136 meV/atom
Uncorrected formation energy ... 0.16 eV/atom
Total magnetization ... 0.01 μB/f.u.

The structure in CIF format:
```
data_Fe2SiSe
_chemical_formula_sum 'Fe2 Si1 Se1'
_space_group_name_H-M_alt 'P 1'
_space_group_IT_number 1
_cell_length_a 2.885
_cell_length_b 4.084
_cell_length_c 4.344
_cell_angle_alpha 101.99
_cell_angle_beta 109.39
_cell_angle_gamma 90.00
loop_
_space_group_symop_operation_xyz
'x,y,z'
loop_
_atom_site_label
_atom_site_fract_x
_atom_site_fract_y
_atom_site_fract_z
Fe1 0.015 0.089 0.031
Fe2 0.237 0.682 0.473
Se1 0.503 0.562 0.007
Si1 0.744 0.168 0.489
```

Li2TiCr3O8 | meta-GGA SCAN | PBEsol geometry

## Properties
Electronic total energy ... -0.428 hartree per atom
Calculated density ... 4146 kg/m3
Energy above the lowest structure with this stoichiometry ... 0 meV/atom
Uncorrected formation energy ... -2.65 eV/atom
Total magnetization ... 8.00 μB/f.u.

The structure in CIF format:
```
data_Li2TiCr3O8
_chemical_formula_sum 'Li8 Ti4 Cr12 O32'
_space_group_name_H-M_alt 'P 1'
_space_group_IT_number 1
_cell_length_a 8.212
_cell_length_b 8.212
_cell_length_c 8.212
_cell_angle_alpha 90.00
_cell_angle_beta 90.00
_cell_angle_gamma 90.00
loop_
_space_group_symop_operation_xyz
'x,y,z'
loop_
_atom_site_label
_atom_site_fract_x
_atom_site_fract_y
_atom_site_fract_z
Li1 0.995 0.995 0.995
Li2 0.255 0.255 0.255
Li3 0.245 0.745 0.755
Li4 0.505 0.005 0.495
Li5 0.495 0.505 0.005
Li6 0.755 0.245 0.745
Li7 0.745 0.755 0.245
Li8 0.005 0.495 0.505
Ti1 0.125 0.875 0.375
Ti2 0.375 0.125 0.875
Ti3 0.625 0.625 0.625
Ti4 0.875 0.375 0.125
Cr1 0.127 0.123 0.625
Cr2 0.125 0.373 0.877
Cr3 0.123 0.625 0.127
Cr4 0.377 0.375 0.627
Cr5 0.375 0.627 0.377
Cr6 0.373 0.877 0.125
Cr7 0.627 0.377 0.375
Cr8 0.625 0.127 0.123
Cr9 0.623 0.875 0.873
Cr10 0.877 0.125 0.373
Cr11 0.875 0.873 0.623
Cr12 0.873 0.623 0.875
O1 0.115 0.114 0.388
O2 0.112 0.885 0.614
O3 0.109 0.609 0.891
O4 0.136 0.135 0.862
O5 0.114 0.388 0.115
O6 0.141 0.359 0.641
O7 0.138 0.636 0.365
O8 0.135 0.862 0.136
O9 0.365 0.138 0.636
O10 0.362 0.364 0.865
O11 0.359 0.641 0.141
O12 0.386 0.612 0.615
O13 0.364 0.865 0.362
O14 0.391 0.391 0.391
O15 0.388 0.115 0.114
O16 0.385 0.886 0.888
O17 0.615 0.386 0.612
O18 0.612 0.615 0.386
O19 0.609 0.891 0.109
O20 0.636 0.365 0.138
O21 0.614 0.112 0.885
O22 0.641 0.141 0.359
O23 0.638 0.864 0.635
O24 0.635 0.638 0.864
O25 0.865 0.362 0.364
O26 0.862 0.136 0.135
O27 0.859 0.859 0.859
O28 0.886 0.888 0.385
O29 0.864 0.635 0.638
O30 0.891 0.109 0.609
O31 0.888 0.385 0.886
O32 0.885 0.614 0.112
```